Computed, not measured: a relaxed structure of CsInHg2F8 at the PBE level of DFT.

Cell: 5.0701 5.4308 8.6091 Å, 94.72 88.06 91.56°
Fractional positions:
1 Hg 0.5240 0.5056 0.7846
2 Hg 0.4760 0.4944 0.2154
3 F 0.8426 0.2229 0.1904
4 F 0.8780 0.2238 0.8345
5 F 0.1574 0.7771 0.8096
6 F 0.5162 0.7223 0.4176
7 F 0.1220 0.7762 0.1655
8 F 0.3511 0.2489 0.0177
9 F 0.6489 0.7511 0.9823
10 F 0.4838 0.2777 0.5824
11 In 0.0000 0.0000 0.0000
12 Cs 0.0000 0.0000 0.5000

Density of states at the Fermi level = 0.00 states/eV per atom
Formation energy (no corrections) = -2.00 eV/atom
Total magnetic moment = 0.0 μB per formula unit
SG = No. 2
Crystal system = triclinic

***

Computed, not measured: a relaxed structure of K2TeBr6 at the PBE level of DFT.

Cell: 7.3499 7.3499 14.1313 Å, 90.00 90.00 90.00°
Fractional positions:
1 Br 0.2360 0.7640 0.5000
2 Br 0.6818 0.6818 0.3594
3 Br 0.3182 0.3182 0.3594
4 Br 0.7360 0.7360 0.0000
5 Br 0.1818 0.8182 0.8594
6 Br 0.8182 0.1818 0.8594
7 Br 0.2640 0.2640 0.0000
8 Br 0.3182 0.3182 0.6406
9 Br 0.1818 0.8182 0.1406
10 Br 0.6818 0.6818 0.6406
11 Br 0.7640 0.2360 0.5000
12 Br 0.8182 0.1818 0.1406
13 K 0.5000 0.5000 0.8341
14 K 0.0000 0.0000 0.6659
15 K 0.5000 0.5000 0.1659
16 K 0.0000 0.0000 0.3341
17 Te 0.0000 0.0000 0.0000
18 Te 0.5000 0.5000 0.5000

Density of states at the Fermi level = 0.00 states/eV per atom
Formation energy (no corrections) = -0.97 eV/atom
Total magnetic moment = 0.0 μB per formula unit
SG = No. 136
Crystal system = tetragonal

***

Computed, not measured: a relaxed structure of Sr2Ca2Be at the PBE level of DFT.

Cell: 4.6344 4.6344 10.3649 Å, 77.08 77.08 90.00°
Fractional positions:
1 Be 0.0000 0.0000 0.0000
2 Ca 0.5842 0.5842 0.8316
3 Ca 0.4158 0.4158 0.1684
4 Sr 0.7500 0.2500 0.5000
5 Sr 0.2500 0.7500 0.5000

Density of states at the Fermi level = 1.05 states/eV per atom
Energy relative to the lowest polymorph listed for this composition = 0.430 eV per atom
E_form = 0.81 eV/atom
Total magnetic moment = 0.0 μB per formula unit
SG = No. 139
Crystal system = tetragonal

***

Computed, not measured: a relaxed structure of NdMg2ZnHg4 at the PBE level of DFT.

Cell: 4.8923 4.8923 9.2850 Å, 74.72 74.72 60.00°
Fractional positions:
1 Hg 0.3874 0.3874 0.8379
2 Hg 0.1275 0.1275 0.6175
3 Hg 0.8725 0.8725 0.3825
4 Hg 0.6126 0.6126 0.1621
5 Mg 0.7566 0.7566 0.7301
6 Mg 0.2434 0.2434 0.2699
7 Nd 0.0000 0.0000 0.0000
8 Zn 0.5000 0.5000 0.5000

Density of states at the Fermi level = 0.44 states/eV per atom
E_form = -0.25 eV/atom
Total magnetic moment = 0.0 μB per formula unit
SG = No. 166
Crystal system = trigonal

***

Computed, not measured: a relaxed structure of Cs2KAu at the PBE level of DFT.

Cell: 4.8408 8.0272 8.0266 Å, 63.93 72.34 72.34°
Fractional positions:
1 Cs 0.0755 0.8802 0.9683
2 Cs 0.4245 0.5317 0.6198
3 K 0.2500 0.1827 0.3173
4 Au 0.7500 0.9054 0.5946

Density of states at the Fermi level = 0.61 states/eV per atom
Energy relative to the lowest polymorph listed for this composition = 0.015 eV per atom
E_form = -0.16 eV/atom
Total magnetic moment = 0.0 μB per formula unit
SG = No. 5
Crystal system = monoclinic